Here is a relaxed structure of NiOF3 from Alexandria via LeMat-Bulk. Energies are from PBE with a Hubbard U.

Its symmetry is Pm-3m, No. 221. The value obtained for the energy is -3.06 eV per atom.

a b c (Å): 3.8574 3.8574 3.8574
angles (deg): 90.00 90.00 90.00
Closest atoms and distances in Å follow each position.
Atoms (fractional coordinates):
Ni 0.0000 0.0000 0.0000  6 F 1.93
O 0.5000 0.5000 0.5000  12 F 2.73
F 0.0000 0.0000 0.5000  2 Ni 1.93
F 0.0000 0.5000 0.0000  2 Ni 1.93
F 0.5000 0.0000 0.0000  2 Ni 1.93